(1)
A relaxed U4Ga crystal, computed with PBE.

The structure in CIF format:
```
data_U4Ga
_space_group_name_H-M_alt 'P m -3 m'
_space_group_IT_number 221
_space_group_name_Hall '-P 4 2 3'
_cell_length_a 5.3261
_cell_length_b 5.3261
_cell_length_c 5.3261
_cell_angle_alpha 90.00
_cell_angle_beta 90.00
_cell_angle_gamma 90.00
loop_
_atom_site_label
_atom_site_type_symbol
_atom_site_fract_x
_atom_site_fract_y
_atom_site_fract_z
U1 U 0.0000 0.0000 0.0000
U2 U 0.0000 0.5000 0.5000
Ga1 Ga 0.5000 0.5000 0.5000
```

Summary:
- ΔE_f: 1473.7 meV per atom
- Density of states at the Fermi level: 33.79 states/eV/f.u.

=====

(2)
A relaxed UGa crystal, computed with PBE.

The structure in CIF format:
```
data_UGa
_space_group_name_H-M_alt 'C m c m'
_space_group_IT_number 63
_space_group_name_Hall '-C 2c 2'
_cell_length_a 9.6679
_cell_length_b 6.5839
_cell_length_c 4.9499
_cell_angle_alpha 90.00
_cell_angle_beta 90.00
_cell_angle_gamma 90.00
loop_
_atom_site_label
_atom_site_type_symbol
_atom_site_fract_x
_atom_site_fract_y
_atom_site_fract_z
U1 U 0.2188 0.1775 0.2500
Ga1 Ga 0.0000 0.1371 0.7500
Ga2 Ga 0.0000 0.5000 0.0000
```

Summary:
- ΔE_f: -118.6 meV per atom
- Density of states at the Fermi level: 3.71 states/eV/f.u.

=====

(3)
A relaxed UGa3 crystal, computed with PBE.

The structure in CIF format:
```
data_UGa3
_space_group_name_H-M_alt 'P m -3 m'
_space_group_IT_number 221
_space_group_name_Hall '-P 4 2 3'
_cell_length_a 4.2653
_cell_length_b 4.2653
_cell_length_c 4.2653
_cell_angle_alpha 90.00
_cell_angle_beta 90.00
_cell_angle_gamma 90.00
loop_
_atom_site_label
_atom_site_type_symbol
_atom_site_fract_x
_atom_site_fract_y
_atom_site_fract_z
U1 U 0.0000 0.0000 0.0000
Ga1 Ga 0.0000 0.5000 0.5000
```

Summary:
- ΔE_f: -237.2 meV per atom
- Density of states at the Fermi level: 4.65 states/eV/f.u.

=====

(4)
A relaxed UGa7 crystal, computed with PBE.

The structure in CIF format:
```
data_UGa7
_space_group_name_H-M_alt 'F m m m'
_space_group_IT_number 69
_space_group_name_Hall '-F 2 2'
_cell_length_a 6.5053
_cell_length_b 6.5221
_cell_length_c 14.1810
_cell_angle_alpha 90.00
_cell_angle_beta 90.00
_cell_angle_gamma 90.00
loop_
_atom_site_label
_atom_site_type_symbol
_atom_site_fract_x
_atom_site_fract_y
_atom_site_fract_z
U1 U 0.0000 0.0000 0.0000
Ga1 Ga 0.0000 0.0000 0.2379
Ga2 Ga 0.0000 0.0000 0.5000
Ga3 Ga 0.2500 0.2500 0.1390
```

Summary:
- ΔE_f: -63.2 meV per atom
- Density of states at the Fermi level: 7.89 states/eV/f.u.

=====

no.,E (eV per atom)
1,-8.1622
2,-7.2761
3,-5.3294
4,-4.1228